a.
The following is a DFT calculation (PBE) of a geometry-optimized CuTeSBr structure.

The structure in CIF format:
```
data_CuTeSBr
_chemical_formula_sum 'Cu1 Te1 S1 Br1'
_cell_length_a 4.727
_cell_length_b 4.727
_cell_length_c 7.616
_cell_angle_alpha 108.41
_cell_angle_beta 82.96
_cell_angle_gamma 133.53
_symmetry_space_group_name_H-M 'P 1'
_symmetry_Int_Tables_number 1
loop_
_symmetry_equiv_pos_as_xyz
'x,y,z'
loop_
_atom_site_label
_atom_site_fract_x
_atom_site_fract_y
_atom_site_fract_z
Te1 0.491 0.637 0.129
Cu1 0.482 0.999 0.481
S1 0.253 0.990 0.243
Br1 0.103 0.574 0.677
```

Summary:
The density of states at the Fermi level comes out at 1.58 states/eV per cell. Its crystal system is monoclinic. Its symmetry is No. 8.


b.
The following is a DFT calculation (PBE) of a geometry-optimized CuTeSBr structure.

The structure in CIF format:
```
data_CuTeSBr
_chemical_formula_sum 'Cu4 Te4 S4 Br4'
_cell_length_a 5.008
_cell_length_b 7.964
_cell_length_c 12.639
_cell_angle_alpha 66.09
_cell_angle_beta 90.00
_cell_angle_gamma 90.00
_symmetry_space_group_name_H-M 'P 1'
_symmetry_Int_Tables_number 1
loop_
_symmetry_equiv_pos_as_xyz
'x,y,z'
loop_
_atom_site_label
_atom_site_fract_x
_atom_site_fract_y
_atom_site_fract_z
Cu1 0.876 0.811 0.251
Cu2 0.624 0.811 0.751
Cu3 0.376 0.189 0.249
Cu4 0.124 0.189 0.749
S1 0.307 0.592 0.823
S2 0.193 0.592 0.323
S3 0.807 0.408 0.677
S4 0.693 0.408 0.177
Br1 0.832 0.928 0.883
Br2 0.668 0.928 0.383
Br3 0.168 0.072 0.117
Br4 0.332 0.072 0.617
Te1 0.482 0.296 0.851
Te2 0.518 0.704 0.149
Te3 0.018 0.296 0.351
Te4 0.982 0.704 0.649
```

Summary:
Its crystal system is monoclinic. Its symmetry is No. 14.


Ranking the structures above by energy, b is first and the second is 167 meV/atom behind.